(1)
LiMn4Pd5: optimized geometry, PBE.

Unit cell a=3.0611 b=3.0611 c=15.8169 alpha=90.00 beta=90.00 gamma=90.00
With the nearest neighbours (Å) after each atom.
Fractional positions:
Mn  0.0000  0.0000  0.3978  8 Pd 2.70
Pd  0.5000  0.5000  0.2958  8 Mn 2.70-2.71
Mn  0.0000  0.0000  0.8069  8 Pd 2.67-2.71
Pd  0.5000  0.5000  0.7042  8 Mn 2.70-2.71
Pd  0.5000  0.5000  0.0940  4 Li 2.63, 4 Mn 2.67
Mn  0.0000  0.0000  0.6022  8 Pd 2.70
Pd  0.5000  0.5000  0.5000  8 Mn 2.70
Li  0.0000  0.0000  0.0000  8 Pd 2.63
Mn  0.0000  0.0000  0.1931  8 Pd 2.67-2.71
Pd  0.5000  0.5000  0.9060  4 Li 2.63, 4 Mn 2.67

Its formation energy is -0.246 eV/atom. Its space group is P4/mmm.



(2)
Li2PbBr4: optimized geometry, PBE.

Unit cell a=5.9570 b=5.9570 c=8.3674 alpha=69.15 beta=69.15 gamma=90.00
With the nearest neighbours (Å) after each atom.
Fractional positions:
Pb  0.0000  0.0000  0.0000  6 Br 2.95-2.98
Li  0.6330  0.6330  0.7341  1 Br 2.35
Br  0.5000  0.0000  0.0000  2 Pb 2.98
Br  0.2043  0.2043  0.5913  1 Li 2.35
Br  0.0000  0.5000  0.0000  2 Pb 2.98
Li  0.3670  0.3670  0.2659  1 Br 2.35
Br  0.7957  0.7957  0.4087  1 Li 2.35

The energy above the lowest structure with this stoichiometry comes out at 0.2303 eV per atom. Its space group is I4/mmm. The uncorrected formation energy is -1.013 eV/atom.



(3)
CaTeAuSeS: optimized geometry, PBE.

Unit cell a=4.2126 b=3.8896 c=7.9810 alpha=90.00 beta=91.89 gamma=90.00
With the nearest neighbours (Å) after each atom.
Fractional positions:
Se  0.4111  0.0000  0.8418  2 Au 2.63, 1 Te 2.94
Au  0.7352  0.5000  0.9887  2 Se 2.63, 2 Te 2.75
Te  0.0750  0.0000  0.1587  1 S 2.62, 2 Au 2.75
S  0.8714  0.0000  0.4659  1 Te 2.62, 2 Ca 2.92
Ca  0.3791  0.5000  0.5431  4 S 2.92-2.94, 2 Se 3.08

The energy above the lowest structure with this stoichiometry comes out at 0.0525 eV per atom. Its space group is Pm. The uncorrected formation energy is -0.705 eV/atom.



(4)
CaI2NO: optimized geometry, PBE.

Unit cell a=4.8117 b=4.8117 c=4.3830 alpha=90.00 beta=90.00 gamma=90.00
With the nearest neighbours (Å) after each atom.
Fractional positions:
N  0.0000  0.0000  0.0000  2 O 2.19, 4 I 2.41
I  0.5000  0.0000  0.0000  2 N 2.41
O  0.0000  0.0000  0.5000  2 N 2.19
Ca  0.5000  0.5000  0.5000  8 I 3.25, 4 O 3.40
I  0.0000  0.5000  0.0000  2 N 2.41

The energy above the lowest structure with this stoichiometry comes out at 0.0000 eV per atom. Its space group is P4/mmm. The uncorrected formation energy is 0.294 eV/atom.



(5)
Th7Co2Bi2: optimized geometry, PBE.

Unit cell a=5.9956 b=7.4188 c=7.4188 alpha=76.61 beta=94.40 gamma=94.40
With the nearest neighbours (Å) after each atom.
Fractional positions:
Th  0.7489  0.4489  0.1013  2 Co 3.05-3.08, 2 Th 3.20-3.30, 2 Bi 3.39-3.40
Th  0.2431  0.4251  0.4251  1 Co 2.45
Co  0.1609  0.2145  0.2145  2 Th 2.45-2.59
Th  0.2511  0.5511  0.8987  2 Co 3.05-3.08, 2 Th 3.20-3.30, 2 Bi 3.39-3.40
Bi  0.5000  0.8142  0.1858  8 Th 3.35-3.45, 1 Bi 3.42
Co  0.8391  0.7855  0.7855  2 Th 2.45-2.59
Bi  0.5000  0.1858  0.8142  8 Th 3.35-3.45, 1 Bi 3.42
Th  0.2511  0.8987  0.5511  2 Co 3.05-3.08, 2 Th 3.20-3.30, 2 Bi 3.39-3.40
Th  0.7489  0.1013  0.4489  2 Co 3.05-3.08, 2 Th 3.20-3.30, 2 Bi 3.39-3.40
Th  0.0000  0.0000  0.0000  2 Co 2.59
Th  0.7569  0.5749  0.5749  1 Co 2.45

Its formation energy is -0.155 eV/atom. Its space group is C2/m.



(6)
LaAlO2: optimized geometry, PBE.

Unit cell a=6.9925 b=6.9925 c=6.9925 alpha=24.95 beta=24.95 gamma=24.95
With the nearest neighbours (Å) after each atom.
Fractional positions:
Al  0.5000  0.5000  0.5000  6 O 1.99
La  0.0000  0.0000  0.0000  2 O 2.44
O  0.1199  0.1199  0.1199  3 Al 1.99
O  0.8801  0.8801  0.8801  3 Al 1.99

Its space group is R-3m. The uncorrected formation energy is -2.111 eV/atom.



(7)
CeGe3Ru3: optimized geometry, PBE.

Unit cell a=6.7552 b=6.7552 c=7.9161 alpha=64.74 beta=64.74 gamma=60.00
With the nearest neighbours (Å) after each atom.
Fractional positions:
Ru  0.5543  0.7679  0.6363  4 Ge 2.44-2.51
Ru  0.0415  0.5543  0.6363  4 Ge 2.44-2.51
Ru  0.4457  0.2321  0.3637  4 Ge 2.44-2.51
Ru  0.7679  0.0415  0.6363  4 Ge 2.44-2.51
Ge  0.6712  0.8508  0.2750  4 Ru 2.44-2.51
Ge  0.7971  0.3288  0.7250  4 Ru 2.44-2.51
Ge  0.8508  0.2029  0.2750  4 Ru 2.44-2.51
Ge  0.3288  0.1492  0.7250  4 Ru 2.44-2.51
Ru  0.2321  0.9585  0.3637  4 Ge 2.44-2.51
Ce  0.3245  0.3245  0.0265  3 Ru 2.85, 3 Ge 3.07
Ge  0.1492  0.7971  0.7250  4 Ru 2.44-2.51
Ru  0.9585  0.4457  0.3637  4 Ge 2.44-2.51
Ge  0.2029  0.6712  0.2750  4 Ru 2.44-2.51
Ce  0.6755  0.6755  0.9735  3 Ru 2.85, 3 Ge 3.07

Its formation energy is -0.208 eV/atom. The energy above the lowest structure with this stoichiometry comes out at 0.0000 eV per atom. Its space group is R-3.



(8)
Pm12Rh5Pb: optimized geometry, PBE.

Unit cell a=8.6659 b=8.6659 c=8.6659 alpha=105.29 beta=112.20 gamma=111.01
With the nearest neighbours (Å) after each atom.
Fractional positions:
Pm  0.1882  0.4063  0.2181  2 Rh 2.76-2.94
Pm  0.1109  0.8209  0.2900  4 Rh 3.02-3.31
Pm  0.8118  0.0299  0.2181  2 Rh 2.76-2.94
Pm  0.4691  0.1791  0.2900  4 Rh 3.02-3.31
Pm  0.5309  0.8209  0.7100  4 Rh 3.02-3.31
Pm  0.6915  0.6745  0.3660  3 Rh 2.76-3.02
Pb  0.0000  0.5000  0.5000  12 Pm 3.49-3.75
Rh  0.3447  0.3447  0.0000  6 Pm 2.76-3.02, 1 Rh 3.05
Pm  0.3085  0.3255  0.6340  3 Rh 2.76-3.02
Rh  0.0000  0.0000  0.0000  4 Pm 2.94
Rh  0.5000  0.1308  0.6308  1 Rh 2.75, 6 Pm 2.76-3.02
Pm  0.1882  0.9701  0.7819  2 Rh 2.76-2.94
Pm  0.3085  0.6745  0.9831  3 Rh 2.76-3.02
Pm  0.8891  0.1791  0.7100  4 Rh 3.02-3.31
Pm  0.8118  0.5937  0.7819  2 Rh 2.76-2.94
Pm  0.6915  0.3255  0.0169  3 Rh 2.76-3.02
Rh  0.6553  0.6553  0.0000  6 Pm 2.76-3.02, 1 Rh 3.05
Rh  0.5000  0.8692  0.3692  1 Rh 2.75, 6 Pm 2.76-3.02

Its formation energy is -0.539 eV/atom. Its space group is Immm.



(9)
CdNiH6Pd: optimized geometry, PBE.

Unit cell a=4.6621 b=4.6622 c=4.2818 alpha=90.02 beta=90.02 gamma=60.00
With the nearest neighbours (Å) after each atom.
Fractional positions:
H  0.3552  0.6222  0.2979  1 Ni 1.65, 1 Pd 1.79
Pd  0.6666  0.6667  0.5000  6 H 1.79
H  0.0224  0.6223  0.7021  1 Ni 1.65, 1 Pd 1.79
Ni  0.3334  0.3333  0.5000  6 H 1.65
H  0.6224  0.3554  0.7020  1 Ni 1.65, 1 Pd 1.79
Cd  0.0000  0.0000  0.0000  6 H 2.13
H  0.0223  0.3553  0.2978  1 Ni 1.65, 1 Pd 1.79
H  0.6223  0.0223  0.2980  1 Ni 1.65, 1 Pd 1.79
H  0.3553  0.0225  0.7020  1 Ni 1.65, 1 Pd 1.79

The calculation puts the total energy at -3.451 eV/atom. Its space group is P312.



(10)
SrV3Pt: optimized geometry, PBE.

Unit cell a=4.9175 b=4.9175 c=4.9175 alpha=90.00 beta=90.00 gamma=90.00
With the nearest neighbours (Å) after each atom.
Fractional positions:
V  0.0000  0.5000  0.0000  2 Pt 2.46
Sr  0.5000  0.5000  0.5000  12 V 3.48
Pt  0.0000  0.0000  0.0000  6 V 2.46
V  0.0000  0.0000  0.5000  2 Pt 2.46
V  0.5000  0.0000  0.0000  2 Pt 2.46

Its formation energy is 0.726 eV/atom. The energy above the lowest structure with this stoichiometry comes out at 0.0000 eV per atom. Its space group is Pm-3m.



(11)
DyTl2F8: optimized geometry, PBE.

Unit cell a=4.5102 b=7.0998 c=7.0993 alpha=120.01 beta=90.00 gamma=90.00
With the nearest neighbours (Å) after each atom.
Fractional positions:
F  0.2540  0.6958  0.8470  1 Dy 2.19, 1 Tl 2.23
F  0.7641  0.3333  0.6668  2 Tl 2.24-2.27
Tl  0.2668  0.3333  0.6667  5 F 2.23-2.27
F  0.7460  0.3042  0.1530  1 Dy 2.19, 1 Tl 2.23
F  0.7461  0.8470  0.1513  1 Dy 2.19, 1 Tl 2.23
F  0.7461  0.8487  0.6957  1 Dy 2.19, 1 Tl 2.23
Dy  0.0000  0.0000  0.0000  6 F 2.19
F  0.2359  0.6667  0.3332  2 Tl 2.24-2.27
F  0.2539  0.1530  0.8487  1 Dy 2.19, 1 Tl 2.23
Tl  0.7332  0.6667  0.3333  5 F 2.23-2.27
F  0.2539  0.1513  0.3043  1 Dy 2.19, 1 Tl 2.23

The energy above the lowest structure with this stoichiometry comes out at 0.0497 eV per atom. Its space group is P-3. The uncorrected formation energy is -2.527 eV/atom.



(12)
MgSc4Os: optimized geometry, PBE.

Unit cell a=9.1255 b=9.1255 c=9.1255 alpha=60.00 beta=60.00 gamma=60.00
With the nearest neighbours (Å) after each atom.
Fractional positions:
Sc  0.8056  0.8056  0.1944  2 Mg 3.09, 6 Sc 3.22-3.40, 2 Os 3.23
Os  0.1675  0.6108  0.6108  6 Sc 2.62-2.68
Sc  0.9379  0.5621  0.9379  2 Os 2.62
Sc  0.1944  0.1944  0.8056  2 Mg 3.09, 6 Sc 3.22-3.40, 2 Os 3.23
Sc  0.5621  0.9379  0.5621  2 Os 2.62
Mg  0.1683  0.1683  0.1683  3 Mg 2.98, 9 Sc 3.09-3.33
Sc  0.1944  0.8056  0.1944  2 Mg 3.09, 6 Sc 3.22-3.40, 2 Os 3.23
Sc  0.8056  0.1944  0.8056  2 Mg 3.09, 6 Sc 3.22-3.40, 2 Os 3.23
Sc  0.9379  0.5621  0.5621  2 Os 2.62
Sc  0.4045  0.7864  0.4045  3 Os 2.68
Mg  0.1683  0.1683  0.4952  3 Mg 2.98, 9 Sc 3.09-3.33
Sc  0.9379  0.9379  0.5621  2 Os 2.62
Sc  0.1944  0.8056  0.8056  2 Mg 3.09, 6 Sc 3.22-3.40, 2 Os 3.23
Sc  0.4045  0.4045  0.4045  3 Os 2.68
Os  0.6108  0.6108  0.1675  6 Sc 2.62-2.68
Sc  0.4045  0.4045  0.7864  3 Os 2.68
Sc  0.5621  0.9379  0.9379  2 Os 2.62
Mg  0.1683  0.4952  0.1683  3 Mg 2.98, 9 Sc 3.09-3.33
Mg  0.4952  0.1683  0.1683  3 Mg 2.98, 9 Sc 3.09-3.33
Os  0.6108  0.1675  0.6108  6 Sc 2.62-2.68
Sc  0.8056  0.1944  0.1944  2 Mg 3.09, 6 Sc 3.22-3.40, 2 Os 3.23
Sc  0.7864  0.4045  0.4045  3 Os 2.68
Sc  0.5621  0.5621  0.9379  2 Os 2.62
Os  0.6108  0.6108  0.6108  6 Sc 2.62-2.68

Its formation energy is -0.183 eV/atom. The energy above the lowest structure with this stoichiometry comes out at 0.0000 eV per atom. Its space group is F-43m.



(13)
KLaSb4: optimized geometry, PBE.

Unit cell a=6.4240 b=6.4240 c=6.4240 alpha=60.00 beta=60.00 gamma=60.00
With the nearest neighbours (Å) after each atom.
Fractional positions:
Sb  0.3750  0.8750  0.3750  6 Sb 3.21
Sb  0.3750  0.3750  0.8750  6 Sb 3.21
Sb  0.8750  0.3750  0.3750  6 Sb 3.21
La  0.0000  0.0000  0.0000  12 Sb 3.77, 4 K 3.93
Sb  0.3750  0.3750  0.3750  6 Sb 3.21
K  0.7500  0.7500  0.7500  12 Sb 3.77, 4 La 3.93

The energy above the lowest structure with this stoichiometry comes out at 0.1688 eV per atom. Its space group is F-43m. The uncorrected formation energy is -0.318 eV/atom.



(14)
CsAcAu2: optimized geometry, PBE.

Unit cell a=4.6133 b=4.6133 c=9.0293 alpha=75.20 beta=75.20 gamma=60.00
With the nearest neighbours (Å) after each atom.
Fractional positions:
Ac  0.0000  0.0000  0.0000  6 Au 3.16
Au  0.2673  0.2673  0.1981  3 Ac 3.16
Au  0.7327  0.7327  0.8019  3 Ac 3.16
Cs  0.5000  0.5000  0.5000  6 Au 3.73

Its formation energy is -0.487 eV/atom. Its space group is R-3m.



(15)
NaCe2I8: optimized geometry, PBE.

Unit cell a=8.8500 b=7.9251 c=9.8345 alpha=93.39 beta=88.19 gamma=120.25
With the nearest neighbours (Å) after each atom.
Fractional positions:
I  0.6878  0.7435  0.7969  1 Ce 2.99, 1 Na 3.16
I  0.8050  0.7997  0.3632  2 Ce 3.14-3.18
Na  0.0000  0.0000  0.0000  4 I 3.16-3.19
I  0.3122  0.2565  0.2031  1 Ce 2.99, 1 Na 3.16
I  0.1724  0.7588  0.8693  1 Ce 2.99, 1 Na 3.19
I  0.1950  0.2003  0.6368  2 Ce 3.14-3.18
I  0.7534  0.2904  0.5726  2 Ce 3.11-3.16
I  0.2466  0.7096  0.4274  2 Ce 3.11-3.16
I  0.8276  0.2412  0.1307  1 Ce 2.99, 1 Na 3.19
Ce  0.0276  0.2578  0.3751  6 I 2.99-3.18
Ce  0.9724  0.7422  0.6249  6 I 2.99-3.18

The energy above the lowest structure with this stoichiometry comes out at 0.0000 eV per atom. Its space group is P-1. The uncorrected formation energy is -1.239 eV/atom.



(16)
MgTaCl2: optimized geometry, PBE.

Unit cell a=5.7895 b=5.7895 c=6.8180 alpha=64.88 beta=64.88 gamma=90.00
With the nearest neighbours (Å) after each atom.
Fractional positions:
Ta  0.7500  0.2500  0.5000  4 Cl 2.51
Ta  0.0000  0.0000  0.0000  4 Cl 2.51
Cl  0.1387  0.6250  0.2500  2 Mg 2.41, 2 Ta 2.51
Mg  0.2500  0.7500  0.5000  4 Cl 2.41
Cl  0.6113  0.1250  0.2500  2 Mg 2.41, 2 Ta 2.51
Cl  0.8750  0.8613  0.7500  2 Mg 2.41, 2 Ta 2.51
Cl  0.3750  0.3887  0.7500  2 Mg 2.41, 2 Ta 2.51
Mg  0.5000  0.5000  0.0000  4 Cl 2.41

The energy above the lowest structure with this stoichiometry comes out at 0.9258 eV per atom. Its space group is I-42d. The uncorrected formation energy is 0.361 eV/atom.



(17)
K2RbNiOs: optimized geometry, PBE.

Unit cell a=6.3106 b=6.3106 c=4.5863 alpha=90.00 beta=90.00 gamma=90.00
With the nearest neighbours (Å) after each atom.
Fractional positions:
K  0.0000  0.5000  0.0000  2 Os 3.16
K  0.5000  0.0000  0.0000  2 Os 3.16
Rb  0.5000  0.5000  0.5000  8 K 3.90
Os  0.0000  0.0000  0.0000  2 Ni 2.29
Ni  0.0000  0.0000  0.5000  2 Os 2.29

Its formation energy is 1.013 eV/atom. Its space group is P4/mmm.



(18)
Sr3ScSn2O9: optimized geometry, PBE.

Unit cell a=5.8332 b=5.8332 c=7.1463 alpha=90.00 beta=90.00 gamma=120.00
With the nearest neighbours (Å) after each atom.
Fractional positions:
O  0.0000  0.5000  0.0000  2 Sn 2.07
Sr  0.6667  0.3333  0.3395  12 O 2.89-2.95
Sr  0.0000  0.0000  0.0000  12 O 2.91-2.92
O  0.1675  0.8325  0.3319  1 Sn 2.04, 1 Sc 2.08
O  0.8325  0.6650  0.6681  1 Sn 2.04, 1 Sc 2.08
Sc  0.0000  0.0000  0.5000  6 O 2.08
Sr  0.3333  0.6667  0.6605  12 O 2.89-2.95
O  0.6650  0.8325  0.3319  1 Sn 2.04, 1 Sc 2.08
O  0.5000  0.5000  0.0000  2 Sn 2.07
O  0.1675  0.3350  0.3319  1 Sn 2.04, 1 Sc 2.08
O  0.8325  0.1675  0.6681  1 Sn 2.04, 1 Sc 2.08
O  0.3350  0.1675  0.6681  1 Sn 2.04, 1 Sc 2.08
Sn  0.3333  0.6667  0.1682  6 O 2.04-2.07
O  0.5000  0.0000  0.0000  2 Sn 2.07
Sn  0.6667  0.3333  0.8318  6 O 2.04-2.07

Its space group is P-3m1. The uncorrected formation energy is -2.400 eV/atom.



(19)
Gd3HgB: optimized geometry, PBE.

Unit cell a=5.0870 b=5.0870 c=5.0870 alpha=90.00 beta=90.00 gamma=90.00
With the nearest neighbours (Å) after each atom.
Fractional positions:
B  0.0000  0.0000  0.0000  6 Gd 2.54
Gd  0.0000  0.0000  0.5000  2 B 2.54
Hg  0.5000  0.5000  0.5000  12 Gd 3.60
Gd  0.0000  0.5000  0.0000  2 B 2.54
Gd  0.5000  0.0000  0.0000  2 B 2.54

Its formation energy is -0.175 eV/atom. Its space group is Pm-3m.



(20)
Pm2Dy3Er7: optimized geometry, PBE.

Unit cell a=3.5192 b=6.3268 c=17.0975 alpha=89.98 beta=90.00 gamma=90.00
With the nearest neighbours (Å) after each atom.
Fractional positions:
Er  0.0000  0.0000  0.0000  8 Er 3.46-3.52, 4 Dy 3.62
Er  0.0000  0.6770  0.1634  2 Pm 3.44, 7 Er 3.46-3.64, 3 Dy 3.49-3.67
Er  0.0000  0.3230  0.8366  2 Pm 3.44, 7 Er 3.46-3.64, 3 Dy 3.49-3.67
Dy  0.0000  0.9990  0.6583  2 Dy 3.52, 7 Er 3.56-3.67, 4 Pm 3.59-3.67
Er  0.5000  0.8272  0.8344  1 Pm 3.46, 3 Dy 3.51-3.65, 8 Er 3.51-3.64
Er  0.5000  0.7558  0.5011  2 Er 3.09-3.24, 2 Pm 3.39-3.41
Dy  0.0000  0.0010  0.3417  2 Dy 3.52, 7 Er 3.56-3.67, 4 Pm 3.59-3.67
Pm  0.5000  0.4910  0.6750  5 Er 3.39-3.46, 2 Pm 3.52, 4 Dy 3.59-3.67
Er  0.5000  0.2442  0.4989  2 Er 3.09-3.24, 2 Pm 3.39-3.41
Pm  0.5000  0.5090  0.3250  5 Er 3.39-3.46, 2 Pm 3.52, 4 Dy 3.59-3.67
Er  0.5000  0.1728  0.1656  1 Pm 3.46, 3 Dy 3.51-3.65, 8 Er 3.51-3.64
Dy  0.5000  0.5000  0.0000  10 Er 3.49-3.62, 2 Dy 3.52

Its formation energy is 0.073 eV/atom. The energy above the lowest structure with this stoichiometry comes out at 0.0000 eV per atom. Its space group is P2/m.



Total magnetization
In order: 17.6 0.0 0.0 0.0 0.0 0.0 0.3 0.0 0.0 7.0 0.0 0.0 0.0 0.0 1.0 3.6 1.1 0.0 22.8 0.0
Unit: μB/cell